[1]
Computed, not measured: CrSi2Ni after structural relaxation at the PBEsol level of DFT.

```
CrSi2Ni
1.0
0.0000 2.8111 2.8111
2.8111 0.0000 2.8111
2.8111 2.8111 0.0000
Cr Si Ni
1 2 1
Cartesian
0.0000 0.0000 0.0000 Cr
1.4056 1.4056 1.4056 Si
4.2167 4.2167 4.2167 Si
2.8111 2.8111 2.8111 Ni
```

Summary:
Uncorrected formation energy ... -0.272 eV per atom
D(E_F) ... 0.319 states/eV per atom
Space-group type ... Fm-3m (225)
M_tot ... 0.00 μB/f.u.

=====

[2]
Computed, not measured: Cr2SiNi after structural relaxation at the PBEsol level of DFT.

```
Cr2SiNi
1.0
3.0359 0.0000 0.0000
0.0000 3.6374 0.0000
0.0000 0.0000 3.9613
Cr Si Ni
2 1 1
Cartesian
0.0000 0.0000 0.0000 Cr
1.5180 1.8187 0.0000 Cr
0.0000 1.8187 1.9806 Si
1.5180 0.0000 1.9806 Ni
```

Summary:
Uncorrected formation energy ... -0.268 eV per atom
D(E_F) ... 0.650 states/eV per atom
Space-group type ... Pmmm (47)
M_tot ... 0.00 μB/f.u.

=====

[3]
Computed, not measured: Cr2SiNi after structural relaxation at the PBEsol level of DFT.

```
Cr2SiNi
1.0
-1.5444 1.8101 3.9151
1.5444 -1.8101 3.9151
1.5444 1.8101 -3.9151
Cr Si Ni
2 1 1
Cartesian
0.0000 0.0000 1.9394 Cr
0.0000 0.0000 5.8908 Cr
1.5444 0.0000 0.0000 Si
0.0000 1.8101 0.0000 Ni
```

Summary:
Uncorrected formation energy ... -0.270 eV per atom
D(E_F) ... 0.721 states/eV per atom
Space-group type ... Immm (71)
M_tot ... 0.00 μB/f.u.

=====

[4]
Computed, not measured: Cr6Si7Ni16 after structural relaxation at the PBEsol level of DFT.

```
Cr6Si7Ni16
1.0
0.0000 5.4357 5.4357
5.4357 0.0000 5.4357
5.4357 5.4357 0.0000
Cr Si Ni
6 7 16
Cartesian
5.4357 5.4357 1.7080 Cr
5.4357 1.7080 5.4357 Cr
9.1634 5.4357 5.4357 Cr
1.7080 5.4357 5.4357 Cr
5.4357 9.1634 5.4357 Cr
5.4357 5.4357 9.1634 Cr
2.7178 2.7178 0.0000 Si
2.7178 0.0000 2.7178 Si
5.4357 2.7178 2.7178 Si
0.0000 2.7178 2.7178 Si
2.7178 5.4357 2.7178 Si
2.7178 2.7178 5.4357 Si
5.4357 5.4357 5.4357 Si
6.7102 4.1612 4.1612 Ni
1.8248 1.8248 1.8248 Ni
3.6108 3.6108 1.8248 Ni
3.6108 1.8248 3.6108 Ni
4.1612 4.1612 4.1612 Ni
6.7102 6.7102 4.1612 Ni
6.7102 4.1612 6.7102 Ni
1.8248 3.6108 3.6108 Ni
9.0465 7.2605 7.2605 Ni
4.1612 6.7102 4.1612 Ni
4.1612 4.1612 6.7102 Ni
6.7102 6.7102 6.7102 Ni
7.2605 9.0465 7.2605 Ni
7.2605 7.2605 9.0465 Ni
9.0465 9.0465 9.0465 Ni
4.1612 6.7102 6.7102 Ni
```

Summary:
Uncorrected formation energy ... -0.367 eV per atom
D(E_F) ... 1.002 states/eV per atom
Space-group type ... Fm-3m (225)
M_tot ... 0.00 μB/f.u.

=====

[5]
Computed, not measured: CrSiNi after structural relaxation at the PBEsol level of DFT.

```
CrSiNi
1.0
5.6597 0.0000 0.0000
0.0000 3.5819 0.0000
0.0000 0.0000 6.8106
Cr Si Ni
4 4 4
Cartesian
0.1613 0.8955 1.2383 Cr
2.6685 2.6865 4.6435 Cr
2.9912 0.8955 2.1670 Cr
5.4984 2.6865 5.5723 Cr
1.3894 2.6865 2.5529 Si
1.4404 0.8955 5.9582 Si
4.2193 2.6865 0.8524 Si
4.2703 0.8955 4.2577 Si
0.8328 0.8955 3.8035 Ni
1.9970 2.6865 0.3982 Ni
3.6627 0.8955 6.4123 Ni
4.8269 2.6865 3.0070 Ni
```

Summary:
Uncorrected formation energy ... -0.404 eV per atom
D(E_F) ... 0.777 states/eV per atom
Space-group type ... Pnma (62)
M_tot ... 1.85 μB/f.u.

=====

[6]
Computed, not measured: SrCrNi2 after structural relaxation at the PBEsol level of DFT.

```
SrCrNi2
1.0
-1.4815 2.3349 4.7727
1.4815 -2.3349 4.7727
1.4815 2.3349 -4.7727
Sr Cr Ni
1 1 2
Cartesian
0.0000 0.0000 0.0000 Sr
1.4815 0.0000 2.8250 Cr
0.0000 0.0000 4.9739 Ni
0.0000 2.3349 2.1285 Ni
```

Summary:
D(E_F) ... 1.086 states/eV per atom
Formation enthalpy at 0 K ... 642.3 meV per atom
Space-group type ... Imm2 (44)
M_tot ... 4.23 μB/f.u.

=====

[7]
Computed, not measured: TaCr2Ni after structural relaxation at the PBEsol level of DFT.

```
TaCr2Ni
1.0
0.0000 2.9469 2.9469
2.9469 0.0000 2.9469
2.9469 2.9469 0.0000
Ta Cr Ni
1 2 1
Cartesian
0.0000 0.0000 0.0000 Ta
2.9469 2.9469 2.9469 Cr
4.4203 4.4203 4.4203 Cr
1.4734 1.4734 1.4734 Ni
```

Summary:
D(E_F) ... 0.847 states/eV per atom
Formation enthalpy at 0 K ... 113.7 meV per atom
Space-group type ... F-43m (216)
M_tot ... 1.10 μB/f.u.

=====

[8]
Computed, not measured: TaCrNi6 after structural relaxation at the PBEsol level of DFT.

```
TaCrNi6
1.0
3.5660 -5.0533 0.0000
3.5660 5.0533 0.0000
0.0000 0.0000 10.1064
Ta Cr Ni
4 4 24
Cartesian
0.0000 0.0000 2.4739 Ta
0.0000 0.0000 7.6325 Ta
3.5660 2.5465 5.0532 Ta
3.5660 -2.5465 5.0532 Ta
3.5660 2.5758 0.0000 Cr
3.5660 0.0000 2.4604 Cr
3.5660 0.0000 7.6460 Cr
3.5660 -2.5758 0.0000 Cr
0.0000 0.0000 0.0000 Ni
0.0000 0.0000 5.0532 Ni
1.8021 1.2691 1.2496 Ni
1.8021 1.2691 8.8568 Ni
1.8018 1.2518 3.7768 Ni
1.8018 1.2518 6.3296 Ni
3.5660 2.5155 2.5167 Ni
3.5660 2.5155 7.5897 Ni
1.8018 -1.2518 3.7768 Ni
1.8018 -1.2518 6.3296 Ni
1.8021 -1.2691 1.2496 Ni
1.8021 -1.2691 8.8568 Ni
3.5660 0.0000 0.0000 Ni
3.5660 0.0000 5.0532 Ni
5.3298 1.2691 1.2496 Ni
5.3298 1.2691 8.8568 Ni
5.3301 1.2518 3.7768 Ni
5.3301 1.2518 6.3296 Ni
3.5660 -2.5155 2.5167 Ni
3.5660 -2.5155 7.5897 Ni
5.3301 -1.2518 3.7768 Ni
5.3301 -1.2518 6.3296 Ni
5.3298 -1.2691 1.2496 Ni
5.3298 -1.2691 8.8568 Ni
```

Summary:
D(E_F) ... 0.637 states/eV per atom
Formation enthalpy at 0 K ... -162.3 meV per atom
Space-group type ... Cmmm (65)
M_tot ... 3.20 μB/f.u.

=====

[9]
Computed, not measured: TaCrNi2W after structural relaxation at the PBEsol level of DFT.

```
TaCrNi2W
1.0
4.4479 0.0000 0.0000
0.0000 4.4479 0.0000
0.0000 0.0000 4.7192
Ta Cr Ni W
1 1 2 1
Cartesian
0.0000 0.0000 0.0000 Ta
2.2240 2.2240 2.3596 Cr
0.0000 2.2240 0.0000 Ni
2.2240 0.0000 0.0000 Ni
0.0000 0.0000 2.3596 W
```

Summary:
D(E_F) ... 1.012 states/eV per atom
Formation enthalpy at 0 K ... 1896.0 meV per atom
Space-group type ... P4/mmm (123)
M_tot ... 3.31 μB/f.u.

=====

[10]
Computed, not measured: CrTcNi2 after structural relaxation at the PBEsol level of DFT.

```
CrTcNi2
1.0
3.4900 0.0000 0.0000
0.0000 3.4900 0.0000
0.0000 0.0000 3.7528
Cr Tc Ni
1 1 2
Cartesian
0.0000 0.0000 0.0000 Cr
1.7450 1.7450 0.0000 Tc
0.0000 1.7450 1.8764 Ni
1.7450 0.0000 1.8764 Ni
```

Summary:
Polymorph energy (0 for the lowest one) ... 28 meV per atom
D(E_F) ... 1.324 states/eV per atom
Formation enthalpy at 0 K ... 14.7 meV per atom
Space-group type ... P4/mmm (123)
M_tot ... 0.48 μB/f.u.

=====

[11]
Computed, not measured: CrTcNi6 after structural relaxation at the PBEsol level of DFT.

```
CrTcNi6
1.0
3.5350 -4.9967 0.0000
3.5350 4.9967 0.0000
0.0000 0.0000 9.9923
Cr Tc Ni
4 4 24
Cartesian
0.0000 0.0000 2.4667 Cr
0.0000 0.0000 7.5256 Cr
3.5350 2.4942 0.0000 Cr
3.5350 -2.4942 0.0000 Cr
3.5350 2.4992 4.9962 Tc
3.5350 0.0000 2.4637 Tc
3.5350 0.0000 7.5286 Tc
3.5350 -2.4992 4.9962 Tc
0.0000 0.0000 0.0000 Ni
0.0000 0.0000 4.9962 Ni
1.7646 1.2506 1.2424 Ni
1.7646 1.2506 8.7499 Ni
1.7661 1.2476 3.7385 Ni
1.7661 1.2476 6.2538 Ni
3.5350 2.4974 2.4957 Ni
3.5350 2.4974 7.4967 Ni
1.7646 -1.2506 1.2424 Ni
1.7646 -1.2506 8.7499 Ni
1.7661 -1.2476 3.7385 Ni
1.7661 -1.2476 6.2538 Ni
3.5350 0.0000 0.0000 Ni
3.5350 0.0000 4.9962 Ni
5.3040 1.2476 3.7385 Ni
5.3040 1.2476 6.2538 Ni
5.3055 1.2506 1.2424 Ni
5.3055 1.2506 8.7499 Ni
3.5350 -2.4974 2.4957 Ni
3.5350 -2.4974 7.4967 Ni
5.3040 -1.2476 3.7385 Ni
5.3040 -1.2476 6.2538 Ni
5.3055 -1.2506 1.2424 Ni
5.3055 -1.2506 8.7499 Ni
```

Summary:
D(E_F) ... 1.048 states/eV per atom
Formation enthalpy at 0 K ... 61.7 meV per atom
Space-group type ... Cmmm (65)
M_tot ... 4.81 μB/f.u.

=====

[12]
Computed, not measured: CrTcNi2 after structural relaxation at the PBEsol level of DFT.

```
CrTcNi2
1.0
4.1622 -1.2361 0.0000
4.1622 1.2361 0.0000
-0.6117 0.0000 4.4599
Cr Tc Ni
1 1 2
Cartesian
0.0000 0.0000 0.0000 Cr
6.1641 0.0000 1.1994 Tc
1.6793 0.0000 3.4045 Ni
3.9081 0.0000 2.3437 Ni
```

Summary:
Polymorph energy (0 for the lowest one) ... 52 meV per atom
D(E_F) ... 1.058 states/eV per atom
Formation enthalpy at 0 K ... 39.1 meV per atom
Space-group type ... Cm (8)
M_tot ... 0.00 μB/f.u.

=====

[13]
Computed, not measured: CrTcNi2 after structural relaxation at the PBEsol level of DFT.

```
CrTcNi2
1.0
2.4838 0.0000 0.0000
0.0000 2.4838 0.0000
0.0000 0.0000 7.4027
Cr Tc Ni
1 1 2
Cartesian
0.0000 0.0000 0.0000 Cr
0.0000 0.0000 3.7013 Tc
1.2419 1.2419 1.7627 Ni
1.2419 1.2419 5.6400 Ni
```

Summary:
Polymorph energy (0 for the lowest one) ... 73 meV per atom
D(E_F) ... 1.581 states/eV per atom
Formation enthalpy at 0 K ... 59.6 meV per atom
Space-group type ... P4/mmm (123)
M_tot ... 0.10 μB/f.u.

=====

[14]
Computed, not measured: CrTcNi2 after structural relaxation at the PBEsol level of DFT.

```
CrTcNi2
1.0
2.4610 -3.7487 0.0000
2.4610 3.7487 0.0000
0.0000 0.0000 2.4837
Cr Tc Ni
1 1 2
Cartesian
0.0000 0.0000 0.0000 Cr
2.4610 0.0000 0.0000 Tc
1.2305 1.8743 1.2418 Ni
1.2305 -1.8743 1.2418 Ni
```

Summary:
Polymorph energy (0 for the lowest one) ... 56 meV per atom
D(E_F) ... 1.516 states/eV per atom
Formation enthalpy at 0 K ... 42.9 meV per atom
Space-group type ... Cmmm (65)
M_tot ... 0.73 μB/f.u.

=====

[15]
Computed, not measured: CrTcNi2 after structural relaxation at the PBEsol level of DFT.

```
CrTcNi2
1.0
0.0000 2.8493 2.8493
2.8493 0.0000 2.8493
2.8493 2.8493 0.0000
Cr Tc Ni
1 1 2
Cartesian
0.0000 0.0000 0.0000 Cr
4.2740 4.2740 4.2740 Tc
1.4247 1.4247 1.4247 Ni
2.8493 2.8493 2.8493 Ni
```

Summary:
Polymorph energy (0 for the lowest one) ... 164 meV per atom
D(E_F) ... 1.615 states/eV per atom
Formation enthalpy at 0 K ... 150.8 meV per atom
Space-group type ... F-43m (216)
M_tot ... 0.04 μB/f.u.

=====

[16]
Computed, not measured: CrTcNi2 after structural relaxation at the PBEsol level of DFT.

```
CrTcNi2
1.0
2.5001 0.0000 0.0000
0.0000 4.0694 0.0000
0.0000 0.0000 4.4803
Cr Tc Ni
1 1 2
Cartesian
0.0000 0.0000 0.0000 Cr
0.0000 2.0347 3.0358 Tc
1.2500 0.0000 2.1733 Ni
1.2500 2.0347 0.8069 Ni
```

Summary:
Polymorph energy (0 for the lowest one) ... 0 meV per atom
D(E_F) ... 1.000 states/eV per atom
Formation enthalpy at 0 K ... -13.1 meV per atom
Space-group type ... Pmm2 (25)
M_tot ... 0.00 μB/f.u.

=====

[17]
Computed, not measured: CrTcNi2 after structural relaxation at the PBEsol level of DFT.

```
CrTcNi2
1.0
-1.7410 1.7410 3.7623
1.7410 -1.7410 3.7623
1.7410 1.7410 -3.7623
Cr Tc Ni
1 1 2
Cartesian
0.0000 0.0000 0.0000 Cr
0.0000 0.0000 3.7623 Tc
1.7410 0.0000 1.8812 Ni
0.0000 1.7410 1.8812 Ni
```

Summary:
Polymorph energy (0 for the lowest one) ... 31 meV per atom
D(E_F) ... 1.318 states/eV per atom
Formation enthalpy at 0 K ... 17.4 meV per atom
Space-group type ... I4/mmm (139)
M_tot ... 0.92 μB/f.u.

=====

[18]
Computed, not measured: CrNi2Te after structural relaxation at the PBEsol level of DFT.

```
CrNi2Te
1.0
1.4935 0.8623 7.6214
-1.4935 0.8623 7.6214
0.0000 -1.7245 7.6214
Cr Ni Te
1 2 1
Cartesian
0.0000 0.0000 0.0000 Cr
0.0000 0.0000 5.8556 Ni
0.0000 0.0000 17.0085 Ni
0.0000 0.0000 11.4321 Te
```

Summary:
Uncorrected formation energy ... 0.554 eV per atom
D(E_F) ... 1.327 states/eV per atom
Space-group type ... R-3m (166)
M_tot ... 2.67 μB/f.u.

=====

[19]
Computed, not measured: CrNiTe after structural relaxation at the PBEsol level of DFT.

```
CrNiTe
1.0
0.0000 2.9419 2.9419
2.9419 0.0000 2.9419
2.9419 2.9419 0.0000
Cr Ni Te
1 1 1
Cartesian
0.0000 0.0000 0.0000 Cr
1.4709 1.4709 1.4709 Ni
2.9419 2.9419 2.9419 Te
```

Summary:
Uncorrected formation energy ... 0.084 eV per atom
Polymorph energy (0 for the lowest one) ... 0 meV per atom
D(E_F) ... 0.425 states/eV per atom
Space-group type ... F-43m (216)
M_tot ... 4.00 μB/f.u.

=====

[20]
Computed, not measured: CrNiTe2 after structural relaxation at the PBEsol level of DFT.

```
CrNiTe2
1.0
1.9269 1.1125 6.1069
-1.9269 1.1125 6.1069
0.0000 -2.2250 6.1069
Cr Ni Te
1 1 2
Cartesian
0.0000 0.0000 0.0000 Cr
0.0000 0.0000 9.1603 Ni
0.0000 0.0000 4.4917 Te
0.0000 0.0000 13.8289 Te
```

Summary:
Uncorrected formation energy ... 0.094 eV per atom
D(E_F) ... 0.976 states/eV per atom
Space-group type ... R-3m (166)
M_tot ... 3.79 μB/f.u.